No. 1
ZnB4Mo | PBE | optimized geometry

- Energy: -6.490 eV/atom
- Excess energy over the best structure of this formula in the dataset: 0 meV per atom

a b c (Å): 2.987 2.987 7.111
angles (deg): 90.00 90.00 120.00
Fractional coordinates of all 6 atoms:
Zn 0.000 0.000 0.000
B 0.333 0.667 0.260
B 0.333 0.667 0.740
B 0.667 0.333 0.260
B 0.667 0.333 0.740
Mo 0.000 0.000 0.500

=====

No. 2
SrNd2Gd | PBE | optimized geometry

- Energy: -3.748 eV/atom

a b c (Å): 3.944 6.154 6.194
angles (deg): 90.00 90.00 90.00
Fractional coordinates of all 4 atoms:
Sr 0.000 0.000 0.000
Nd 0.000 0.500 0.500
Nd 0.500 0.000 0.500
Gd 0.500 0.500 0.000

=====

No. 3
PmCo2 | PBE | optimized geometry

- Energy: -4.884 eV/atom
- DFT formation energy: 138.51 kJ/mol of atoms
- Excess energy over the best structure of this formula in the dataset: 1486 meV per atom

a b c (Å): 5.156 5.156 4.315
angles (deg): 90.00 90.00 90.00
Fractional coordinates of all 6 atoms:
Pm 0.000 0.000 0.000
Pm 0.500 0.500 0.500
Co 0.167 0.167 0.500
Co 0.333 0.667 0.000
Co 0.667 0.333 0.000
Co 0.833 0.833 0.500

=====

No. 4
Th2CuOs | PBE | optimized geometry

- Energy: -7.763 eV/atom
- DFT formation energy: -31.00 kJ/mol of atoms

a b c (Å): 5.934 4.362 7.705
angles (deg): 90.00 109.87 90.00
Fractional coordinates of all 8 atoms:
Th 0.225 0.250 0.442
Th 0.228 0.250 0.928
Th 0.772 0.750 0.072
Th 0.775 0.750 0.558
Cu 0.339 0.750 0.209
Cu 0.661 0.250 0.791
Os 0.316 0.750 0.714
Os 0.684 0.250 0.286

=====

No. 5
NdCo9Si2 | PBE | optimized geometry

- Energy: -6.916 eV/atom

a b c (Å): 7.543 7.543 7.543
angles (deg): 100.02 100.02 130.68
Fractional coordinates of all 24 atoms:
Nd 0.375 0.625 0.750
Nd 0.625 0.375 0.250
Co 0.125 0.875 0.250
Co 0.141 0.561 0.331
Co 0.141 0.810 0.580
Co 0.190 0.270 0.331
Co 0.190 0.859 0.920
Co 0.270 0.190 0.831
Co 0.270 0.439 0.080
Co 0.439 0.270 0.580
Co 0.439 0.859 0.169
Co 0.561 0.141 0.831
Co 0.561 0.730 0.420
Co 0.730 0.561 0.920
Co 0.730 0.810 0.169
Co 0.810 0.141 0.080
Co 0.810 0.730 0.669
Co 0.859 0.190 0.420
Co 0.859 0.439 0.669
Co 0.875 0.125 0.750
Si 0.000 0.000 0.000
Si 0.000 0.000 0.500
Si 0.000 0.500 0.000
Si 0.500 0.000 0.500

=====

No. 6
Rb4Tl2CdHg | PBE | optimized geometry

- Energy: -1.223 eV/atom

a b c (Å): 6.084 6.084 8.617
angles (deg): 90.00 90.00 90.00
Fractional coordinates of all 8 atoms:
Rb 0.000 0.000 0.000
Rb 0.000 0.500 0.247
Rb 0.500 0.000 0.753
Rb 0.500 0.500 0.500
Tl 0.000 0.500 0.745
Tl 0.500 0.000 0.255
Cd 0.000 0.000 0.500
Hg 0.500 0.500 0.000

=====

No. 7
Tb3In3CuPdPt | PBE | optimized geometry

- Energy: -4.889 eV/atom

a b c (Å): 7.690 7.690 3.860
angles (deg): 90.00 90.00 120.00
Fractional coordinates of all 9 atoms:
Tb 0.005 0.593 0.000
Tb 0.407 0.412 0.000
Tb 0.588 0.995 0.000
In 0.254 0.002 0.500
In 0.748 0.746 0.500
In 0.998 0.252 0.500
Cu 0.000 0.000 0.000
Pd 0.667 0.333 0.500
Pt 0.333 0.667 0.500

=====

No. 8
ScBeNiSb | PBE | optimized geometry

- Energy: -4.968 eV/atom
- Excess energy over the best structure of this formula in the dataset: 110 meV per atom

a b c (Å): 6.359 6.359 6.359
angles (deg): 90.00 90.00 90.00
Fractional coordinates of all 16 atoms:
Sc 0.000 0.000 0.000
Sc 0.000 0.500 0.500
Sc 0.500 0.000 0.500
Sc 0.500 0.500 0.000
Be 0.250 0.250 0.750
Be 0.250 0.750 0.250
Be 0.750 0.250 0.250
Be 0.750 0.750 0.750
Ni 0.000 0.000 0.500
Ni 0.000 0.500 0.000
Ni 0.500 0.000 0.000
Ni 0.500 0.500 0.500
Sb 0.250 0.250 0.250
Sb 0.250 0.750 0.750
Sb 0.750 0.250 0.750
Sb 0.750 0.750 0.250

=====

Question: The highest energy belongs to which entry?
Answer: Rb4Tl2CdHg

=====

Please write out number 8 again, unchanged.
ScBeNiSb | PBE | optimized geometry

- Energy: -4.968 eV/atom
- Excess energy over the best structure of this formula in the dataset: 110 meV per atom

a b c (Å): 6.359 6.359 6.359
angles (deg): 90.00 90.00 90.00
Fractional coordinates of all 16 atoms:
Sc 0.000 0.000 0.000
Sc 0.000 0.500 0.500
Sc 0.500 0.000 0.500
Sc 0.500 0.500 0.000
Be 0.250 0.250 0.750
Be 0.250 0.750 0.250
Be 0.750 0.250 0.250
Be 0.750 0.750 0.750
Ni 0.000 0.000 0.500
Ni 0.000 0.500 0.000
Ni 0.500 0.000 0.000
Ni 0.500 0.500 0.500
Sb 0.250 0.250 0.250
Sb 0.250 0.750 0.750
Sb 0.750 0.250 0.750
Sb 0.750 0.750 0.250